DFT (GGA-PBE) results for a relaxed structure of PmTmO3.

Cell: 7.023 7.023 4.086 Å, 90.00 90.00 130.87°
Atoms (fractional coordinates):
Pm 0.162 0.838 0.000
Pm 0.838 0.162 0.000
Tm 0.381 0.619 0.500
Tm 0.619 0.381 0.500
O 0.000 0.500 0.500
O 0.232 0.232 0.500
O 0.335 0.665 0.000
O 0.500 0.000 0.500
O 0.665 0.335 0.000
O 0.768 0.768 0.500

Results
SG = Cmmm
formation energy without anion corrections = -3.073 eV/atom

---

DFT (GGA-PBE) results for a relaxed structure of Pm2TmO.

Cell: 3.641 3.641 26.452 Å, 90.00 90.00 120.00°
Atoms (fractional coordinates):
Pm 0.000 0.000 0.219
Pm 0.000 0.000 0.781
Pm 0.333 0.667 0.448
Pm 0.333 0.667 0.886
Pm 0.667 0.333 0.114
Pm 0.667 0.333 0.552
Tm 0.000 0.000 0.000
Tm 0.333 0.667 0.667
Tm 0.667 0.333 0.333
O 0.000 0.000 0.500
O 0.333 0.667 0.167
O 0.667 0.333 0.833

Results
energy relative to the lowest polymorph listed for this composition = 0 meV per atom
SG = R-3m
formation energy without anion corrections = -1.261 eV/atom

---

Q: Number 2 is which compound?
A: Pm2TmO